Density functional theory data (PBE) for a relaxed structure of BaLaNiHg2.

Lattice parameters (Å, degrees): 5.3818 5.3818 4.9831 90.00 90.00 90.00
Element x y z (fractional)
Ba: 0.0000 0.0000 0.0000
La: 0.5000 0.5000 0.0000
Ni: 0.5000 0.5000 0.5000
Hg: 0.0000 0.5000 0.5000
Hg: 0.5000 0.0000 0.5000

Properties
ΔE_f, kJ/mol of formula units: -138
Raw total energy, eV per atom: -2.933
M_tot, μB per formula unit: 0.0
Crystal system: tetragonal
Fermi-level density of states, states/eV/cell: 3.11
Space-group type: P4/mmm